Compound: Rb2PBr
Source: Alexandria via LeMat-Bulk
Functional: GGA-PBE
Structure: relaxed

Cell lengths 5.9630, 5.9630, 5.9630 Å; angles 60.00, 60.00, 60.00 degrees
Last column: nearest neighbours and their distance in Å.
Fractional coordinates of all 4 atoms:
Br1 0.5000 0.5000 0.5000  8 Rb 3.65
P1 0.0000 0.0000 0.0000  8 Rb 3.65
Rb1 0.7500 0.7500 0.7500  4 Br 3.65, 4 P 3.65
Rb2 0.2500 0.2500 0.2500  4 Br 3.65, 4 P 3.65

Symmetry: Fm-3m
Magnetization (Bohr magnetons per cell): 2.00
Formation energy from raw total energies (kJ per mole of atoms): -45